This record from the Alexandria database describes an optimized crystal structure of Zn4SiSe. The functional is GGA-PBEsol.

For the volume, the calculation gives 16.06 Å³ per atom. For the uncorrected formation energy, the calculation gives 0.283 eV per atom. The space group is F-43m. Its total magnetic moment is 0.00 μB/f.u.

Unit cell a=5.1464 b=5.1464 c=5.1464 alpha=60.00 beta=60.00 gamma=60.00
Last column: nearest neighbours and their distance in Å.
Element x y z (fractional)
Zn  0.3747  0.3747  0.8759  6 Zn 2.57-2.58
Zn  0.3747  0.8759  0.3747  6 Zn 2.57-2.58
Si  0.0000  0.0000  0.0000  12 Zn 3.02, 4 Se 3.15
Se  0.7500  0.7500  0.7500  12 Zn 3.02, 4 Si 3.15
Zn  0.3747  0.3747  0.3747  6 Zn 2.57-2.58
Zn  0.8759  0.3747  0.3747  6 Zn 2.57-2.58